# 1
## Li2GaCl4 (PBE-GGA)

Data for crystalline Li2GaCl4 at its relaxed geometry.

Cell and atoms, written as CIF:
```
data_Li2GaCl4
_symmetry_space_group_name_H-M 'I 4/m m m'
_symmetry_Int_Tables_number 139
_symmetry_space_group_name_Hall '-I 4 2'
_cell_length_a 5.057
_cell_length_b 5.057
_cell_length_c 13.327
_cell_angle_alpha 90.00
_cell_angle_beta 90.00
_cell_angle_gamma 90.00
loop_
_atom_site_label
_atom_site_fract_x
_atom_site_fract_y
_atom_site_fract_z
Li1 0.000 0.000 0.139
Ga1 0.000 0.000 0.500
Cl1 0.000 0.000 0.309
Cl2 0.000 0.500 0.000
```

## Properties
E above lowest polymorph, eV per atom: 0.132
E_form (uncorrected), meV per atom: -1188

=====

# 2
## Li2GaCl (PBE-GGA)

Data for crystalline Li2GaCl at its relaxed geometry.

Cell and atoms, written as CIF:
```
data_Li2GaCl
_symmetry_space_group_name_H-M 'F m -3 m'
_symmetry_Int_Tables_number 225
_symmetry_space_group_name_Hall '-F 4 2 3'
_cell_length_a 6.829
_cell_length_b 6.829
_cell_length_c 6.829
_cell_angle_alpha 90.00
_cell_angle_beta 90.00
_cell_angle_gamma 90.00
loop_
_atom_site_label
_atom_site_fract_x
_atom_site_fract_y
_atom_site_fract_z
Li1 0.250 0.250 0.250
Ga1 0.000 0.000 0.000
Cl1 0.000 0.000 0.500
```

## Properties
E above lowest polymorph, eV per atom: 0.329
E_form (uncorrected), meV per atom: -333

=====

# 3
## LiGa2NCl (PBE-GGA)

Data for crystalline LiGa2NCl at its relaxed geometry.

Cell and atoms, written as CIF:
```
data_LiGa2NCl
_symmetry_space_group_name_H-M 'P 4/m m m'
_symmetry_Int_Tables_number 123
_symmetry_space_group_name_Hall '-P 4 2'
_cell_length_a 5.094
_cell_length_b 5.094
_cell_length_c 4.201
_cell_angle_alpha 90.00
_cell_angle_beta 90.00
_cell_angle_gamma 90.00
loop_
_atom_site_label
_atom_site_fract_x
_atom_site_fract_y
_atom_site_fract_z
Li1 0.000 0.000 0.000
Ga1 0.000 0.500 0.000
N1 0.500 0.500 0.500
Cl1 0.000 0.000 0.500
```

## Properties
E_form (uncorrected), meV per atom: 810

=====

# 4
## NaLiGa2Cl8 (PBE-GGA)

Data for crystalline NaLiGa2Cl8 at its relaxed geometry.

Cell and atoms, written as CIF:
```
data_NaLiGa2Cl8
_symmetry_space_group_name_H-M 'I -4 m 2'
_symmetry_Int_Tables_number 119
_symmetry_space_group_name_Hall 'I -4 -2'
_cell_length_a 12.136
_cell_length_b 12.136
_cell_length_c 6.664
_cell_angle_alpha 90.00
_cell_angle_beta 90.00
_cell_angle_gamma 90.00
loop_
_atom_site_label
_atom_site_fract_x
_atom_site_fract_y
_atom_site_fract_z
Na1 0.000 0.000 0.000
Li1 0.000 0.500 0.750
Ga1 0.000 0.000 0.500
Ga2 0.000 0.500 0.250
Cl1 0.000 0.147 0.694
Cl2 0.000 0.361 0.036
```

## Properties
E_form (uncorrected), meV per atom: -1362

=====

# 5
## NaLiGa2Cl4 (PBE-GGA)

Data for crystalline NaLiGa2Cl4 at its relaxed geometry.

Cell and atoms, written as CIF:
```
data_NaLiGa2Cl4
_symmetry_space_group_name_H-M 'P 1'
_symmetry_Int_Tables_number 1
_cell_length_a 6.061
_cell_length_b 6.114
_cell_length_c 6.778
_cell_angle_alpha 110.57
_cell_angle_beta 116.17
_cell_angle_gamma 93.87
loop_
_symmetry_equiv_pos_as_xyz
'x,y,z'
loop_
_atom_site_label
_atom_site_fract_x
_atom_site_fract_y
_atom_site_fract_z
Na1 0.000 0.000 0.000
Li1 0.782 0.144 0.492
Ga1 0.238 0.704 0.532
Ga2 0.467 0.484 0.974
Cl1 0.170 0.102 0.470
Cl2 0.504 0.084 0.073
Cl3 0.666 0.771 0.515
Cl4 0.989 0.436 0.923
```

## Properties
E_form (uncorrected), meV per atom: -1222

=====

# 6
## LiNb2GaCl (PBE-GGA)

Data for crystalline LiNb2GaCl at its relaxed geometry.

Cell and atoms, written as CIF:
```
data_LiNb2GaCl
_symmetry_space_group_name_H-M 'P 4/m m m'
_symmetry_Int_Tables_number 123
_symmetry_space_group_name_Hall '-P 4 2'
_cell_length_a 4.849
_cell_length_b 4.849
_cell_length_c 5.660
_cell_angle_alpha 90.00
_cell_angle_beta 90.00
_cell_angle_gamma 90.00
loop_
_atom_site_label
_atom_site_fract_x
_atom_site_fract_y
_atom_site_fract_z
Li1 0.000 0.000 0.000
Nb1 0.000 0.500 0.500
Ga1 0.500 0.500 0.500
Cl1 0.500 0.500 0.000
```

## Properties
E_form (uncorrected), meV per atom: 1186

=====

# 7
## LiGa2ClO (PBE-GGA)

Data for crystalline LiGa2ClO at its relaxed geometry.

Cell and atoms, written as CIF:
```
data_LiGa2ClO
_symmetry_space_group_name_H-M 'P 4/m m m'
_symmetry_Int_Tables_number 123
_symmetry_space_group_name_Hall '-P 4 2'
_cell_length_a 5.000
_cell_length_b 5.000
_cell_length_c 4.075
_cell_angle_alpha 90.00
_cell_angle_beta 90.00
_cell_angle_gamma 90.00
loop_
_atom_site_label
_atom_site_fract_x
_atom_site_fract_y
_atom_site_fract_z
Li1 0.000 0.000 0.000
Ga1 0.000 0.500 0.000
Cl1 0.000 0.000 0.500
O1 0.500 0.500 0.500
```

## Properties
E_form (uncorrected), meV per atom: 98

=====

# 8
## Li4Ga3Si3ClO12 (PBE-GGA)

Data for crystalline Li4Ga3Si3ClO12 at its relaxed geometry.

Cell and atoms, written as CIF:
```
data_Li4Ga3Si3ClO12
_symmetry_space_group_name_H-M 'P -4 3 n'
_symmetry_Int_Tables_number 218
_symmetry_space_group_name_Hall 'P -4n 2 3'
_cell_length_a 8.606
_cell_length_b 8.606
_cell_length_c 8.606
_cell_angle_alpha 90.00
_cell_angle_beta 90.00
_cell_angle_gamma 90.00
loop_
_atom_site_label
_atom_site_fract_x
_atom_site_fract_y
_atom_site_fract_z
Li1 0.170 0.170 0.170
Ga1 0.000 0.250 0.500
Si1 0.000 0.500 0.250
Cl1 0.000 0.000 0.000
O1 0.099 0.373 0.646
```

## Properties
E_form (uncorrected), meV per atom: -2342

=====

# 9
## LiGaP2Cl (PBE-GGA)

Data for crystalline LiGaP2Cl at its relaxed geometry.

Cell and atoms, written as CIF:
```
data_LiGaP2Cl
_symmetry_space_group_name_H-M 'P 4/m m m'
_symmetry_Int_Tables_number 123
_symmetry_space_group_name_Hall '-P 4 2'
_cell_length_a 4.656
_cell_length_b 4.656
_cell_length_c 5.547
_cell_angle_alpha 90.00
_cell_angle_beta 90.00
_cell_angle_gamma 90.00
loop_
_atom_site_label
_atom_site_fract_x
_atom_site_fract_y
_atom_site_fract_z
Li1 0.000 0.000 0.000
Ga1 0.500 0.500 0.500
P1 0.000 0.500 0.500
Cl1 0.500 0.500 0.000
```

## Properties
E above lowest polymorph, eV per atom: 0.000
E_form (uncorrected), meV per atom: 205

=====

# 10
## LiGaPCl2 (PBE-GGA)

Data for crystalline LiGaPCl2 at its relaxed geometry.

Cell and atoms, written as CIF:
```
data_LiGaPCl2
_symmetry_space_group_name_H-M 'P 4/m m m'
_symmetry_Int_Tables_number 123
_symmetry_space_group_name_Hall '-P 4 2'
_cell_length_a 5.128
_cell_length_b 5.128
_cell_length_c 4.744
_cell_angle_alpha 90.00
_cell_angle_beta 90.00
_cell_angle_gamma 90.00
loop_
_atom_site_label
_atom_site_fract_x
_atom_site_fract_y
_atom_site_fract_z
Li1 0.000 0.000 0.000
Ga1 0.500 0.500 0.500
P1 0.500 0.500 0.000
Cl1 0.000 0.500 0.500
```

## Properties
E above lowest polymorph, eV per atom: 0.000
E_form (uncorrected), meV per atom: -321

=====

# 11
## LiPaGaCl6 (PBE-GGA)

Data for crystalline LiPaGaCl6 at its relaxed geometry.

Cell and atoms, written as CIF:
```
data_LiPaGaCl6
_symmetry_space_group_name_H-M 'P -3 1 c'
_symmetry_Int_Tables_number 163
_symmetry_space_group_name_Hall '-P 3 2c'
_cell_length_a 6.8093
_cell_length_b 6.8093
_cell_length_c 13.3192
_cell_angle_alpha 90.00
_cell_angle_beta 90.00
_cell_angle_gamma 120.00
loop_
_atom_site_label
_atom_site_fract_x
_atom_site_fract_y
_atom_site_fract_z
Li1 0.3333 0.6667 0.2500
Pa1 0.3333 0.6667 0.7500
Ga1 0.0000 0.0000 0.0000
Cl1 0.0036 0.3624 0.1379
```

## Properties
E_form (uncorrected), meV per atom: -1621

=====

# 12
## Rb2LiGaCl6 (PBE-GGA)

Data for crystalline Rb2LiGaCl6 at its relaxed geometry.

Cell and atoms, written as CIF:
```
data_Rb2LiGaCl6
_symmetry_space_group_name_H-M 'P -3 m 1'
_symmetry_Int_Tables_number 164
_symmetry_space_group_name_Hall '-P 3 2"'
_cell_length_a 7.1676
_cell_length_b 7.1676
_cell_length_c 6.1660
_cell_angle_alpha 90.00
_cell_angle_beta 90.00
_cell_angle_gamma 120.00
loop_
_atom_site_label
_atom_site_fract_x
_atom_site_fract_y
_atom_site_fract_z
Rb1 0.3333 0.6667 0.2200
Li1 0.0000 0.0000 0.5000
Ga1 0.0000 0.0000 0.0000
Cl1 0.1561 0.3121 0.7697
```

## Properties
E_form (uncorrected), meV per atom: -1614

=====

# 13
## RbLiGa2Cl4 (PBE-GGA)

Data for crystalline RbLiGa2Cl4 at its relaxed geometry.

Cell and atoms, written as CIF:
```
data_RbLiGa2Cl4
_symmetry_space_group_name_H-M 'C 1 2/c 1'
_symmetry_Int_Tables_number 15
_cell_length_a 12.280
_cell_length_b 12.324
_cell_length_c 8.682
_cell_angle_alpha 90.00
_cell_angle_beta 134.88
_cell_angle_gamma 90.00
loop_
_symmetry_equiv_pos_as_xyz
'x,y,z'
'-x,-y,-z'
'-x,y,-z+1/2'
'x,-y,z+1/2'
'x+1/2,y+1/2,z'
'-x+1/2,-y+1/2,-z'
'-x+1/2,y+1/2,-z+1/2'
'x+1/2,-y+1/2,z+1/2'
loop_
_atom_site_label
_atom_site_fract_x
_atom_site_fract_y
_atom_site_fract_z
Rb1 0.250 0.250 0.000
Li1 0.000 0.000 0.000
Ga1 0.000 0.500 0.000
Ga2 0.250 0.250 0.500
Cl1 0.000 0.196 0.014
Cl2 0.236 0.492 0.485
```

## Properties
E_form (uncorrected), meV per atom: -1204

=====

# 14
## LiGaSCl2 (PBE-GGA)

Data for crystalline LiGaSCl2 at its relaxed geometry.

Cell and atoms, written as CIF:
```
data_LiGaSCl2
_symmetry_space_group_name_H-M 'P 4/m m m'
_symmetry_Int_Tables_number 123
_symmetry_space_group_name_Hall '-P 4 2'
_cell_length_a 4.951
_cell_length_b 4.951
_cell_length_c 4.696
_cell_angle_alpha 90.00
_cell_angle_beta 90.00
_cell_angle_gamma 90.00
loop_
_atom_site_label
_atom_site_fract_x
_atom_site_fract_y
_atom_site_fract_z
Li1 0.000 0.000 0.000
Ga1 0.500 0.500 0.500
S1 0.000 0.000 0.500
Cl1 0.000 0.500 0.000
```

## Properties
E above lowest polymorph, eV per atom: 0.359
E_form (uncorrected), meV per atom: -355

=====

# 15
## LiGaSCl2 (PBE-GGA)

Data for crystalline LiGaSCl2 at its relaxed geometry.

Cell and atoms, written as CIF:
```
data_LiGaSCl2
_symmetry_space_group_name_H-M 'P 4/m m m'
_symmetry_Int_Tables_number 123
_symmetry_space_group_name_Hall '-P 4 2'
_cell_length_a 5.023
_cell_length_b 5.023
_cell_length_c 4.607
_cell_angle_alpha 90.00
_cell_angle_beta 90.00
_cell_angle_gamma 90.00
loop_
_atom_site_label
_atom_site_fract_x
_atom_site_fract_y
_atom_site_fract_z
Li1 0.000 0.000 0.000
Ga1 0.500 0.500 0.500
S1 0.500 0.500 0.000
Cl1 0.000 0.500 0.500
```

## Properties
E above lowest polymorph, eV per atom: 0.000
E_form (uncorrected), meV per atom: -714

=====

# 16
## LiGaSi2Cl (PBE-GGA)

Data for crystalline LiGaSi2Cl at its relaxed geometry.

Cell and atoms, written as CIF:
```
data_LiGaSi2Cl
_symmetry_space_group_name_H-M 'P 4/m m m'
_symmetry_Int_Tables_number 123
_symmetry_space_group_name_Hall '-P 4 2'
_cell_length_a 4.938
_cell_length_b 4.938
_cell_length_c 4.290
_cell_angle_alpha 90.00
_cell_angle_beta 90.00
_cell_angle_gamma 90.00
loop_
_atom_site_label
_atom_site_fract_x
_atom_site_fract_y
_atom_site_fract_z
Li1 0.000 0.000 0.000
Ga1 0.500 0.500 0.000
Si1 0.000 0.500 0.500
Cl1 0.000 0.000 0.500
```

## Properties
E_form (uncorrected), meV per atom: 486

=====

# 17
## LiGaTeCl2 (PBE-GGA)

Data for crystalline LiGaTeCl2 at its relaxed geometry.

Cell and atoms, written as CIF:
```
data_LiGaTeCl2
_symmetry_space_group_name_H-M 'P 4/m m m'
_symmetry_Int_Tables_number 123
_symmetry_space_group_name_Hall '-P 4 2'
_cell_length_a 4.751
_cell_length_b 4.751
_cell_length_c 10.321
_cell_angle_alpha 90.00
_cell_angle_beta 90.00
_cell_angle_gamma 90.00
loop_
_atom_site_label
_atom_site_fract_x
_atom_site_fract_y
_atom_site_fract_z
Li1 0.000 0.000 0.000
Ga1 0.000 0.000 0.500
Te1 0.500 0.500 0.000
Cl1 0.000 0.500 0.500
```

## Properties
E_form (uncorrected), meV per atom: -323

=====

# 18
## LiTiGaCl6 (PBE-GGA)

Data for crystalline LiTiGaCl6 at its relaxed geometry.

Cell and atoms, written as CIF:
```
data_LiTiGaCl6
_symmetry_space_group_name_H-M 'P 3 1 2'
_symmetry_Int_Tables_number 149
_cell_length_a 6.4520
_cell_length_b 6.4520
_cell_length_c 6.3889
_cell_angle_alpha 90.00
_cell_angle_beta 90.00
_cell_angle_gamma 120.00
loop_
_symmetry_equiv_pos_as_xyz
'x,y,z'
'-y,x-y,z'
'-x+y,-x,z'
'-y,-x,-z'
'-x+y,y,-z'
'x,x-y,-z'
loop_
_atom_site_label
_atom_site_fract_x
_atom_site_fract_y
_atom_site_fract_z
Li1 0.0000 0.0000 0.0000
Ti1 0.3333 0.6667 0.0000
Ga1 0.6667 0.3333 0.5000
Cl1 0.0467 0.3563 0.2144
```

## Properties
E_form (uncorrected), meV per atom: -1416

=====

# 19
## LiTlGa2Cl4 (PBE-GGA)

Data for crystalline LiTlGa2Cl4 at its relaxed geometry.

Cell and atoms, written as CIF:
```
data_LiTlGa2Cl4
_symmetry_space_group_name_H-M 'I m m a'
_symmetry_Int_Tables_number 74
_symmetry_space_group_name_Hall '-I 2b 2'
_cell_length_a 8.521
_cell_length_b 8.617
_cell_length_c 12.178
_cell_angle_alpha 90.00
_cell_angle_beta 90.00
_cell_angle_gamma 90.00
loop_
_atom_site_label
_atom_site_fract_x
_atom_site_fract_y
_atom_site_fract_z
Li1 0.000 0.000 0.000
Tl1 0.250 0.250 0.250
Ga1 0.000 0.000 0.500
Ga2 0.250 0.250 0.750
Cl1 0.000 0.013 0.798
Cl2 0.247 0.250 0.506
```

## Properties
E_form (uncorrected), meV per atom: -982

=====

# 20
## LiTlGa2Cl8 (PBE-GGA)

Data for crystalline LiTlGa2Cl8 at its relaxed geometry.

Cell and atoms, written as CIF:
```
data_LiTlGa2Cl8
_symmetry_space_group_name_H-M 'R -3'
_symmetry_Int_Tables_number 148
_symmetry_space_group_name_Hall '-R 3'
_cell_length_a 6.3946
_cell_length_b 6.3946
_cell_length_c 27.9579
_cell_angle_alpha 90.00
_cell_angle_beta 90.00
_cell_angle_gamma 120.00
loop_
_atom_site_label
_atom_site_fract_x
_atom_site_fract_y
_atom_site_fract_z
Li1 0.0000 0.0000 0.0000
Tl1 0.0000 0.0000 0.5000
Ga1 0.0000 0.0000 0.2538
Cl1 0.0000 0.0000 0.1749
Cl2 0.0009 0.3302 0.7230
```

## Properties
E_form (uncorrected), meV per atom: -1250